YAs2RhBr: optimized geometry, GGA-PBE.

Cell: 5.4580 5.4580 5.3648 Å, 90.00 90.00 90.00°
Closest atoms and distances in Å follow each position.
Space group P4/mmm (No. 123)
One atom of each set of equivalent atoms:
Y: 0.0000 0.0000 0.0000  2 Br 2.68, 4 As 2.73
As: 0.0000 0.5000 0.0000  2 Y 2.73
Rh: 0.5000 0.5000 0.5000  8 As 3.83, 4 Br 3.86
Br: 0.0000 0.0000 0.5000  2 Y 2.68

Results
- D(E_F) (states/eV per atom) = 1.92
- relative energy among the computed polymorphs (meV per atom) = 830.7
- E_form (uncorrected) (meV/atom) = 637

---

YAs2RhBr: optimized geometry, GGA-PBE.

Cell: 4.8170 4.8170 5.1050 Å, 90.00 90.00 90.00°
Closest atoms and distances in Å follow each position.
Space group P4/mmm (No. 123)
One atom of each set of equivalent atoms:
Y: 0.0000 0.0000 0.0000  4 Br 3.41, 8 As 3.51
As: 0.0000 0.5000 0.5000  2 Rh 2.41
Rh: 0.5000 0.5000 0.5000  4 As 2.41, 2 Br 2.55
Br: 0.5000 0.5000 0.0000  2 Rh 2.55

Results
- D(E_F) (states/eV per atom) = 1.07
- relative energy among the computed polymorphs (meV per atom) = 0.0
- E_form (uncorrected) (meV/atom) = -193

---

ZrAs2RhBr: optimized geometry, GGA-PBE.

Cell: 4.7970 4.7970 4.9171 Å, 90.00 90.00 90.00°
Closest atoms and distances in Å follow each position.
Space group P4/mmm (No. 123)
One atom of each set of equivalent atoms:
Zr: 0.0000 0.0000 0.0000  4 Br 3.39, 8 As 3.43
As: 0.0000 0.5000 0.5000  2 Rh 2.40
Rh: 0.5000 0.5000 0.5000  4 As 2.40, 2 Br 2.46
Br: 0.5000 0.5000 0.0000  2 Rh 2.46

Results
- D(E_F) (states/eV per atom) = 0.72
- relative energy among the computed polymorphs (meV per atom) = 0.0
- E_form (uncorrected) (meV/atom) = 310

---

ZrAsRhBr2: optimized geometry, GGA-PBE.

Cell: 5.2419 5.2419 5.3439 Å, 90.00 90.00 90.00°
Closest atoms and distances in Å follow each position.
Space group P4/mmm (No. 123)
One atom of each set of equivalent atoms:
Zr: 0.0000 0.0000 0.0000  4 Br 2.62, 2 As 2.67
As: 0.0000 0.0000 0.5000  2 Zr 2.67
Rh: 0.5000 0.5000 0.5000  4 As 3.71, 8 Br 3.74
Br: 0.0000 0.5000 0.0000  2 Zr 2.62

Results
- D(E_F) (states/eV per atom) = 0.32
- relative energy among the computed polymorphs (meV per atom) = 0.0
- E_form (uncorrected) (meV/atom) = 307

---

ZrAsRhBr2: optimized geometry, GGA-PBE.

Cell: 4.9089 4.9089 4.9579 Å, 90.00 90.00 90.00°
Closest atoms and distances in Å follow each position.
Space group P4/mmm (No. 123)
One atom of each set of equivalent atoms:
Zr: 0.0000 0.0000 0.0000  4 As 3.47, 8 Br 3.49
As: 0.5000 0.5000 0.0000  2 Rh 2.48
Rh: 0.5000 0.5000 0.5000  4 Br 2.45, 2 As 2.48
Br: 0.0000 0.5000 0.5000  2 Rh 2.45

Results
- D(E_F) (states/eV per atom) = 1.21
- relative energy among the computed polymorphs (meV per atom) = 28.7
- E_form (uncorrected) (meV/atom) = 336

---

ZrAs2RhBr: optimized geometry, GGA-PBE.

Cell: 5.1892 5.1892 5.2040 Å, 90.00 90.00 90.00°
Closest atoms and distances in Å follow each position.
Space group P4/mmm (No. 123)
One atom of each set of equivalent atoms:
Zr: 0.0000 0.0000 0.0000  4 As 2.59, 2 Br 2.60
As: 0.0000 0.5000 0.0000  2 Zr 2.59
Rh: 0.5000 0.5000 0.5000  4 Br 3.67, 8 As 3.67
Br: 0.0000 0.0000 0.5000  2 Zr 2.60

Results
- D(E_F) (states/eV per atom) = 1.53
- relative energy among the computed polymorphs (meV per atom) = 274.3
- E_form (uncorrected) (meV/atom) = 584

---

Please write out number 5 again, unchanged.
ZrAsRhBr2: optimized geometry, GGA-PBE.

Cell: 4.9089 4.9089 4.9579 Å, 90.00 90.00 90.00°
Closest atoms and distances in Å follow each position.
Space group P4/mmm (No. 123)
One atom of each set of equivalent atoms:
Zr: 0.0000 0.0000 0.0000  4 As 3.47, 8 Br 3.49
As: 0.5000 0.5000 0.0000  2 Rh 2.48
Rh: 0.5000 0.5000 0.5000  4 Br 2.45, 2 As 2.48
Br: 0.0000 0.5000 0.5000  2 Rh 2.45

Results
- D(E_F) (states/eV per atom) = 1.21
- relative energy among the computed polymorphs (meV per atom) = 28.7
- E_form (uncorrected) (meV/atom) = 336